Entry from Alexandria via LeMat-Bulk: an optimized crystal structure of SrNbVInO6 (PBE with a Hubbard U).

Lattice parameters (Å, degrees): 5.661 5.661 5.661 60.00 60.00 60.00
Element x y z (fractional)
Sr1 0.000 0.000 0.000
Nb1 0.750 0.750 0.750
V1 0.250 0.250 0.250
In1 0.500 0.500 0.500
O1 0.002 0.002 0.498
O2 0.002 0.498 0.002
O3 0.002 0.498 0.498
O4 0.498 0.002 0.002
O5 0.498 0.002 0.498
O6 0.498 0.498 0.002

- raw total energy (eV per atom) = -7.344
- density (g/cm3) = 5.724
- total moment (Bohr magnetons per cell) = 1.38
- space group = No. 216